(1)
# NiAsPb PBE-GGA relaxed
data_NiAsPb
_cell_length_a 6.532
_cell_length_b 6.532
_cell_length_c 6.532
_cell_angle_alpha 90.00
_cell_angle_beta 90.00
_cell_angle_gamma 90.00
_space_group_name_H-M_alt 'F -4 3 m'
_space_group_IT_number 216
_space_group_name_Hall 'F -4 2 3'
loop_
_atom_site_label
_atom_site_fract_x
_atom_site_fract_y
_atom_site_fract_z
Ni1 0.000 0.000 0.000
As1 0.000 0.000 0.500
Pb1 0.250 0.250 0.250
# **Total magnetization**: 0.001 μB per cell
# **DFT formation energy**: 643 meV per atom

---

(2)
# CrSn2Pt PBE-GGA relaxed
data_CrSn2Pt
_cell_length_a 6.574
_cell_length_b 6.574
_cell_length_c 6.574
_cell_angle_alpha 90.00
_cell_angle_beta 90.00
_cell_angle_gamma 90.00
_space_group_name_H-M_alt 'F m -3 m'
_space_group_IT_number 225
_space_group_name_Hall '-F 4 2 3'
loop_
_atom_site_label
_atom_site_fract_x
_atom_site_fract_y
_atom_site_fract_z
Cr1 0.000 0.000 0.000
Sn1 0.250 0.250 0.250
Pt1 0.000 0.000 0.500
# **ΔE to the lowest computed polymorph**: 0.062 eV per atom
# **Total magnetization**: 0.063 μB per cell
# **DFT formation energy**: 214 meV per atom

---

(3)
# ErTeS4 PBE-GGA relaxed
data_ErTeS4
_cell_length_a 11.409
_cell_length_b 7.686
_cell_length_c 7.434
_cell_angle_alpha 90.00
_cell_angle_beta 90.04
_cell_angle_gamma 90.00
_space_group_name_H-M_alt 'C 1 2/c 1'
_space_group_IT_number 15
_space_group_name_Hall '-C 2yc'
loop_
_atom_site_label
_atom_site_fract_x
_atom_site_fract_y
_atom_site_fract_z
Er1 0.250 0.250 0.000
Te1 0.000 0.001 0.250
S1 0.009 0.244 0.000
S2 0.227 0.002 0.252
# **Total magnetization**: 0.000 μB per cell
# **Uncorrected formation energy**: -0.645 eV/atom

---

(4)
# BaSrHgAu PBE-GGA relaxed
data_BaSrHgAu
_cell_length_a 4.993
_cell_length_b 4.532
_cell_length_c 12.276
_cell_angle_alpha 90.00
_cell_angle_beta 90.00
_cell_angle_gamma 90.00
_space_group_name_H-M_alt 'A m m 2'
_space_group_IT_number 38
_space_group_name_Hall 'A 2 -2'
loop_
_atom_site_label
_atom_site_fract_x
_atom_site_fract_y
_atom_site_fract_z
Ba1 0.000 0.000 0.000
Sr1 0.500 0.000 0.278
Hg1 0.500 0.000 0.567
Au1 0.000 0.000 0.720
# **Total magnetization**: 0.000 μB per cell
# **DFT formation energy**: -599 meV per atom

---

(5)
# Fe2CoCu PBE-GGA relaxed
data_Fe2CoCu
_cell_length_a 5.713
_cell_length_b 5.713
_cell_length_c 5.713
_cell_angle_alpha 90.00
_cell_angle_beta 90.00
_cell_angle_gamma 90.00
_space_group_name_H-M_alt 'F -4 3 m'
_space_group_IT_number 216
_space_group_name_Hall 'F -4 2 3'
loop_
_atom_site_label
_atom_site_fract_x
_atom_site_fract_y
_atom_site_fract_z
Fe1 0.000 0.000 0.000
Fe2 0.250 0.250 0.250
Co1 0.250 0.250 0.750
Cu1 0.000 0.000 0.500
# **ΔE to the lowest computed polymorph**: 0.069 eV per atom
# **Total magnetization**: 27.269 μB per cell
# **DFT formation energy**: 136 meV per atom

---

(6)
# NaMnPb2S4 PBE-GGA relaxed
data_NaMnPb2S4
_cell_length_a 7.956
_cell_length_b 8.027
_cell_length_c 11.159
_cell_angle_alpha 90.00
_cell_angle_beta 90.00
_cell_angle_gamma 90.00
_space_group_name_H-M_alt 'I m m a'
_space_group_IT_number 74
_space_group_name_Hall '-I 2b 2'
loop_
_atom_site_label
_atom_site_fract_x
_atom_site_fract_y
_atom_site_fract_z
Na1 0.000 0.000 0.000
Mn1 0.250 0.250 0.250
Pb1 0.000 0.000 0.500
Pb2 0.250 0.250 0.750
S1 0.000 0.030 0.247
S2 0.245 0.250 0.025
# **Total magnetization**: 16.507 μB per cell
# **Uncorrected formation energy**: -0.565 eV/atom

---

(7)
# Dy12Os3O5 PBE-GGA relaxed
data_Dy12Os3O5
_cell_length_a 15.127
_cell_length_b 15.127
_cell_length_c 15.127
_cell_angle_alpha 90.00
_cell_angle_beta 90.00
_cell_angle_gamma 90.00
_space_group_name_H-M_alt 'I a -3 d'
_space_group_IT_number 230
_space_group_name_Hall '-I 4bd 2c 3'
loop_
_atom_site_label
_atom_site_fract_x
_atom_site_fract_y
_atom_site_fract_z
Dy1 0.031 0.056 0.652
Os1 0.000 0.250 0.125
O1 0.000 0.000 0.000
O2 0.000 0.250 0.375
# **Total magnetization**: 0.000 μB per cell
# **Uncorrected formation energy**: -1.521 eV/atom

---

(8)
# KMo2 PBE-GGA relaxed
data_KMo2
_cell_length_a 3.095
_cell_length_b 25.734
_cell_length_c 4.251
_cell_angle_alpha 90.00
_cell_angle_beta 90.00
_cell_angle_gamma 90.00
_space_group_name_H-M_alt 'C m c m'
_space_group_IT_number 63
_space_group_name_Hall '-C 2c 2'
loop_
_atom_site_label
_atom_site_fract_x
_atom_site_fract_y
_atom_site_fract_z
K1 0.000 0.168 0.250
Mo1 0.000 0.046 0.750
Mo2 0.000 0.457 0.750
# **ΔE to the lowest computed polymorph**: 0.000 eV per atom
# **Total magnetization**: 0.003 μB per cell
# **DFT formation energy**: 638 meV per atom